#a
Below is crystalline ThBePt at its relaxed geometry, with properties calculated at the PBE level.

The size of the total moment comes out at 0.32 μB per formula unit. The value obtained for the theoretical density is 10.40 Mg/m³. Its space group is F-43m, No. 216.

Cell lengths 4.618, 4.618, 4.618 Å; angles 60.00, 60.00, 60.00 degrees
Atoms (fractional coordinates):
Th: 0.000 0.000 0.000
Be: 0.500 0.500 0.500
Pt: 0.750 0.750 0.750

#b
Below is crystalline ThBePt at its relaxed geometry, with properties calculated at the PBE level.

The size of the total moment comes out at 0.00 μB per formula unit. The value obtained for the theoretical density is 11.82 Mg/m³. Its space group is F-43m, No. 216.

Cell lengths 4.425, 4.425, 4.425 Å; angles 60.00, 60.00, 60.00 degrees
Atoms (fractional coordinates):
Th: 0.000 0.000 0.000
Be: 0.750 0.750 0.750
Pt: 0.500 0.500 0.500

Which one sits at the bottom of the stability order? #b does.